A geometry-optimized NbAlAu3 structure. Source: Alexandria, functional GGA-PBEsol.

Cell: 4.605 4.605 4.605 Å, 90.00 90.00 90.00°
Each line ends with the local moment (μB).
Atoms (fractional coordinates):
Au  0.000  0.500  0.000  -0.01
Au  0.500  0.000  0.000  -0.01
Au  0.000  0.000  0.500  -0.01
Nb  0.500  0.500  0.500  0.51
Al  0.000  0.000  0.000  -0.01

Results
E_form: 0.675 eV per atom
space group: Pm-3m